Mn3O5F: optimized geometry, PBE with a Hubbard U.

a = 4.5271 Å, b = 5.4921 Å, c = 7.5479 Å
α = 86.15°, β = 88.83°, γ = 87.90°
With the nearest neighbours (Å) after each atom.
Element x y z (fractional)
Mn (0.0000, 0.0000, 0.0000)  5 O 1.90-1.96, 1 F 2.02
Mn (0.0015, 0.6782, 0.3217)  5 O 1.89-1.96, 1 F 2.03
Mn (0.5010, 0.1734, 0.3256)  6 O 1.94-2.02
Mn (0.5170, 0.5167, 0.9976)  5 O 1.94-1.97, 1 F 2.14
Mn (0.5188, 0.8503, 0.6677)  5 O 1.89-1.96, 1 F 2.04
Mn (0.9777, 0.3265, 0.6489)  4 O 1.90-1.97, 1 F 2.06
O (0.2129, 0.9609, 0.2221)  3 Mn 1.95-1.99
O (0.2973, 0.7951, 0.8875)  3 Mn 1.93-1.94
O (0.2982, 0.4632, 0.2202)  3 Mn 1.94
O (0.3085, 0.1389, 0.5580)  3 Mn 1.93-1.96
O (0.7073, 0.2163, 0.0990)  3 Mn 1.92-1.95
O (0.7092, 0.5514, 0.7637)  3 Mn 1.93-1.95
O (0.7181, 0.8930, 0.4365)  3 Mn 1.94-1.95
O (0.7960, 0.0411, 0.7731)  3 Mn 1.89-1.97
O (0.7963, 0.3922, 0.4246)  3 Mn 1.90-2.02
O (0.8075, 0.7213, 0.1012)  3 Mn 1.89-1.97
F (0.1992, 0.2952, 0.8858)  3 Mn 2.02-2.14
F (0.2171, 0.6428, 0.5550)  3 Mn 2.03-2.15

Properties
offset from the most stable computed form	8	meV per atom
theoretical density	4.68	g/cm3
total DFT energy (no corrections)	-125.205	eV/cell